[1]
Here is a relaxed structure of CrOsI2O from Alexandria. Energies are from PBE with a Hubbard U.

Cell lengths 5.639, 5.639, 3.758 Å; angles 90.00, 90.00, 90.00 degrees
Fractional positions:
Cr (0.000, 0.000, 0.000)
Os (0.500, 0.500, 0.500)
I (0.000, 0.500, 0.500)
I (0.500, 0.000, 0.500)
O (0.500, 0.500, 0.000)

Computed properties:
Space-group type ... P4/mmm (123)
Relative energy among the computed polymorphs ... 0.000 eV/atom


[2]
Here is a relaxed structure of CrOsI2O from Alexandria. Energies are from PBE with a Hubbard U.

Cell lengths 5.459, 5.459, 3.544 Å; angles 90.00, 90.00, 90.00 degrees
Fractional positions:
Cr (0.000, 0.000, 0.000)
Os (0.500, 0.500, 0.500)
I (0.000, 0.500, 0.000)
I (0.500, 0.000, 0.000)
O (0.000, 0.000, 0.500)

Computed properties:
Space-group type ... P4/mmm (123)
Relative energy among the computed polymorphs ... 0.587 eV/atom


[3]
Here is a relaxed structure of CrOsIO2 from Alexandria. Energies are from PBE with a Hubbard U.

Cell lengths 3.802, 3.802, 8.333 Å; angles 90.00, 90.00, 90.00 degrees
Fractional positions:
Cr (0.000, 0.000, 0.000)
Os (0.500, 0.500, 0.500)
I (0.500, 0.500, 0.000)
O (0.000, 0.500, 0.500)
O (0.500, 0.000, 0.500)

Computed properties:
Space-group type ... P4/mmm (123)
Relative energy among the computed polymorphs ... 0.000 eV/atom


[4]
Here is a relaxed structure of CrOsIO2 from Alexandria. Energies are from PBE with a Hubbard U.

Cell lengths 3.741, 3.741, 6.680 Å; angles 90.00, 90.00, 90.00 degrees
Fractional positions:
Cr (0.000, 0.000, 0.000)
Os (0.500, 0.500, 0.500)
I (0.000, 0.000, 0.500)
O (0.000, 0.500, 0.000)
O (0.500, 0.000, 0.000)

Computed properties:
Space-group type ... P4/mmm (123)
Relative energy among the computed polymorphs ... 0.681 eV/atom